(1)
A relaxed La3MnO crystal, computed with PBE+U.

```
La3MnO
1.0
5.093 0.000 0.000
0.000 5.093 0.000
0.000 0.000 5.093
La Mn O
3 1 1
direct
0.500 0.000 0.000
0.000 0.500 0.000
0.000 0.000 0.500
0.500 0.500 0.500
0.000 0.000 0.000
```

Properties
Space group   Pm-3m
Energy above the most stable polymorph in this dataset   0 meV/atom

---

(2)
A relaxed La3MnO7 crystal, computed with PBE+U.

```
La3MnO7
1.0
-4.266 1.347 2.662
2.667 -1.392 4.979
4.894 8.877 3.352
La O Mn
6 14 2
direct
0.265 0.243 0.507
0.765 0.757 0.493
0.257 0.055 0.856
0.261 0.400 0.140
0.761 0.600 0.860
0.757 0.945 0.144
0.762 0.385 0.104
0.517 0.109 0.334
0.263 0.653 0.516
0.508 0.392 0.728
0.763 0.347 0.484
0.010 0.112 0.333
0.008 0.608 0.272
0.510 0.888 0.667
0.017 0.891 0.666
0.011 0.397 0.727
0.511 0.603 0.273
0.772 0.943 0.933
0.262 0.615 0.896
0.272 0.057 0.067
0.763 0.363 0.309
0.263 0.637 0.691
```

Properties
Uncorrected energy   -7.819 eV per atom
Space group   P2_1

---

(3)
A relaxed La2MnO2 crystal, computed with PBE+U.

```
La2MnO2
1.0
-2.987 6.910 0.501
-6.910 -2.932 -0.759
-0.209 -0.316 3.121
O La Mn
4 4 2
direct
0.872 0.372 0.500
0.372 0.128 0.500
0.628 0.872 0.500
0.128 0.628 0.500
0.155 0.345 0.000
0.345 0.845 0.000
0.655 0.155 0.000
0.845 0.655 0.000
0.500 0.500 0.000
0.000 0.000 0.000
```

Properties
Space group   P4/mbm
Energy above the most stable polymorph in this dataset   825 meV/atom

---

Number 3 is which compound? La2MnO2